No. 1
Computed, not measured: an optimized crystal structure of CdTc at the PBE level of DFT.

Structure (POSCAR):
```
CdTc
1.0
-1.464 -2.179 1.183
0.460 0.050 -2.842
8.284 -4.885 1.253
Cd Tc
2 2
Cartesian
8.143 -4.801 1.232
2.031 -1.997 -1.165
4.330 -2.553 0.655
5.843 -4.245 -0.589
```

Output
symmetry = P-3m1 (164)
magnetic moment = 0.00 μB/f.u.
E above lowest polymorph = 3.89 kJ per mole of atoms
raw total energy = -5.49 eV/atom
ΔE_f = 152 meV per atom



No. 2
Computed, not measured: an optimized crystal structure of Tl12PtO5 at the PBE level of DFT.

Structure (POSCAR):
```
Tl12PtO5
1.0
6.420 0.000 0.525
3.210 5.582 0.263
1.042 0.000 12.953
Tl Pt O
12 1 5
Cartesian
5.989 0.000 5.445
1.473 0.000 8.034
5.264 0.000 11.738
5.408 5.582 2.003
5.542 3.559 11.760
8.340 3.559 2.244
2.332 2.023 11.497
5.130 2.023 1.981
4.679 1.863 8.296
7.889 3.719 8.558
2.783 1.863 5.183
5.993 3.719 5.445
0.000 0.000 0.000
3.731 0.000 6.739
3.731 3.725 6.739
6.941 1.857 7.002
6.420 3.721 0.525
3.210 1.861 0.263
```

Output
symmetry = C2/m (12)
formation energy without anion corrections = -0.4727 eV/atom
magnetic moment = 0.00 μB/f.u.
raw total energy = -3.76 eV/atom



No. 3
Computed, not measured: an optimized crystal structure of PmZrS3 at the PBE level of DFT.

Structure (POSCAR):
```
PmZrS3
1.0
6.676 0.000 0.000
0.000 6.775 0.000
0.000 -3.387 5.867
Pm Zr S
2 2 6
Cartesian
0.000 0.000 0.000
3.338 0.000 0.000
3.338 3.387 1.956
0.000 3.387 1.956
5.007 1.365 1.806
5.007 4.269 3.782
5.007 4.528 0.279
1.669 2.505 3.782
1.669 2.247 0.279
1.669 5.410 1.806
```

Output
symmetry = P-6c2 (188)
formation energy without anion corrections = -1.7038 eV/atom
magnetic moment = 0.00 μB/f.u.
E above lowest polymorph = 8.45 kJ per mole of atoms
raw total energy = -6.84 eV/atom



No. 4
Computed, not measured: an optimized crystal structure of NdTiNiP2 at the PBE level of DFT.

Structure (POSCAR):
```
NdTiNiP2
1.0
3.868 0.000 0.000
0.000 3.868 0.000
-1.934 -1.934 5.810
Nd Ti Ni P
1 1 1 2
Cartesian
0.000 0.000 0.000
0.000 1.934 2.905
1.934 0.000 2.905
1.934 1.934 1.512
0.000 0.000 4.299
```

Output
symmetry = I-4m2 (119)
magnetic moment = 0.00 μB/f.u.
raw total energy = -6.89 eV/atom
ΔE_f = -1034 meV per atom



No. 5
Computed, not measured: an optimized crystal structure of CaPr2Ir9 at the PBE level of DFT.

Structure (POSCAR):
```
CaPr2Ir9
1.0
5.384 0.000 0.000
2.692 4.662 0.000
2.692 1.554 8.854
Ca Pr Ir
1 2 9
Cartesian
0.000 0.000 0.000
8.076 4.662 3.672
2.692 1.554 5.182
8.076 4.662 8.811
2.692 1.554 0.043
5.384 3.108 4.427
4.055 2.341 2.131
6.712 2.341 2.131
5.384 4.643 2.131
6.712 3.875 6.723
5.384 1.574 6.723
4.055 3.875 6.723
```

Output
symmetry = R-3m (166)
magnetic moment = 0.00 μB/f.u.
raw total energy = -8.02 eV/atom
ΔE_f = -409 meV per atom



No. 6
Computed, not measured: an optimized crystal structure of Hf7Os2N2 at the PBE level of DFT.

Structure (POSCAR):
```
Hf7Os2N2
1.0
-4.945 -2.705 2.448
0.332 -4.392 -3.525
5.256 -1.492 2.812
Hf Os N
7 2 2
Cartesian
2.273 -1.956 0.661
-1.772 -4.730 -1.313
-1.630 -6.634 1.073
2.415 -3.860 3.047
0.000 0.000 0.000
1.072 -5.370 -0.035
-0.429 -3.220 1.769
0.419 -5.613 2.518
0.224 -2.977 -0.784
-2.574 -2.547 2.433
3.217 -6.043 -0.699
```

Output
symmetry = C2/m (12)
formation energy without anion corrections = -0.5845 eV/atom
magnetic moment = 0.00 μB/f.u.
raw total energy = -10.47 eV/atom



No. 7
Computed, not measured: an optimized crystal structure of NaRe3Sb at the PBE level of DFT.

Structure (POSCAR):
```
NaRe3Sb
1.0
4.913 0.000 0.000
0.000 4.913 0.000
0.000 0.000 4.913
Re Na Sb
3 1 1
Cartesian
0.000 2.456 0.000
0.000 0.000 2.456
2.456 0.000 0.000
2.456 2.456 2.456
0.000 0.000 0.000
```

Output
symmetry = Pm-3m (221)
formation energy without anion corrections = 2.4960 eV/atom
magnetic moment = 0.00 μB/f.u.
E above lowest polymorph = 0.00 kJ per mole of atoms
raw total energy = -6.06 eV/atom



No. 8
Computed, not measured: an optimized crystal structure of Ce6NiHg2 at the PBE level of DFT.

Structure (POSCAR):
```
Ce6NiHg2
1.0
-0.913 -0.812 6.229
-5.304 -6.296 -1.598
6.501 -5.887 1.619
Ce Ni Hg
12 2 4
Cartesian
-4.384 -8.092 4.361
-0.978 -7.976 5.662
1.578 -11.199 5.750
1.469 -5.183 4.413
5.020 -7.225 4.801
-1.224 -4.960 3.535
4.668 -4.903 1.889
1.262 -5.019 0.587
-1.294 -1.797 0.499
-1.185 -7.812 1.836
-4.736 -5.771 1.448
1.508 -8.036 2.714
-3.109 -3.554 2.315
3.251 -2.944 0.809
2.250 -8.100 6.009
-0.963 -10.373 3.624
1.247 -2.623 2.625
-1.966 -4.896 0.240
```

Output
symmetry = P2_1/c (14)
magnetic moment = 1.45 μB/f.u.
raw total energy = -4.81 eV/atom
ΔE_f = -142 meV per atom



The lowest raw total energy belongs to which entry? Hf7Os2N2